(1)
# DyNO

A relaxed DyNO crystal (PBE-GGA, Alexandria via LeMat-Bulk).

The value obtained for the uncorrected formation energy is -1.75 eV per atom. The distance to the lowest polymorph of the same formula comes out at 0.51 eV per formula unit. As for the total magnetization: 0.00 μB/f.u.

a = 3.330 Å, b = 6.030 Å, c = 7.664 Å
α = 90.00°, β = 90.00°, γ = 90.00°
Fractional coordinates of all 12 atoms:
N: 0.750 0.527 0.462
O: 0.750 0.448 0.857
Dy: 0.250 0.686 0.855
O: 0.250 0.948 0.643
O: 0.250 0.552 0.143
Dy: 0.750 0.186 0.645
N: 0.750 0.973 0.962
Dy: 0.750 0.314 0.145
N: 0.250 0.027 0.038
O: 0.750 0.052 0.357
Dy: 0.250 0.814 0.355
N: 0.250 0.473 0.538

(2)
# Dy4NO5

A relaxed Dy4NO5 crystal (PBE-GGA, Alexandria via LeMat-Bulk).

The value obtained for the uncorrected formation energy is -2.93 eV per atom. The density of states at the Fermi level is 1.26 states/eV/f.u. As for the total magnetization: 1.02 μB/f.u.

a = 5.582 Å, b = 7.253 Å, c = 7.651 Å
α = 90.00°, β = 90.00°, γ = 90.00°
Each line ends with the local moment (μB).
Fractional coordinates of all 20 atoms:
O: 0.251 0.746 0.200  0.06
Dy: 0.004 0.000 0.751  0.05
O: 0.749 0.754 0.700  0.06
Dy: 0.996 0.500 0.749  0.05
Dy: 0.546 0.745 0.000  -0.01
N: 0.768 0.000 0.000  0.46
O: 0.781 0.500 0.000  0.04
Dy: 0.454 0.755 0.500  -0.01
O: 0.251 0.746 0.800  0.06
Dy: 0.004 0.000 0.249  0.05
O: 0.749 0.246 0.300  0.06
N: 0.232 0.500 0.500  0.46
O: 0.749 0.754 0.300  0.06
O: 0.749 0.246 0.700  0.06
Dy: 0.454 0.245 0.500  -0.01
Dy: 0.546 0.255 0.000  -0.01
O: 0.251 0.254 0.800  0.06
O: 0.251 0.254 0.200  0.06
Dy: 0.996 0.500 0.251  0.05
O: 0.219 0.000 0.500  0.04

(3)
# Dy3NO2

A relaxed Dy3NO2 crystal (PBE-GGA, Alexandria via LeMat-Bulk).

The value obtained for the uncorrected formation energy is -2.51 eV per atom. The density of states at the Fermi level is 1.61 states/eV/f.u. As for the total magnetization: 0.00 μB/f.u.

a = 4.832 Å, b = 6.857 Å, c = 10.298 Å
α = 90.00°, β = 90.00°, γ = 90.00°
Fractional coordinates of all 24 atoms:
Dy: 0.750 0.879 0.080
Dy: 0.250 0.629 0.920
Dy: 0.250 0.621 0.580
N: 0.250 0.373 0.417
Dy: 0.750 0.375 0.749
Dy: 0.750 0.379 0.420
O: 0.250 0.376 0.083
O: 0.750 0.625 0.251
Dy: 0.250 0.121 0.920
N: 0.250 0.873 0.083
Dy: 0.250 0.625 0.251
Dy: 0.750 0.875 0.751
Dy: 0.250 0.129 0.580
O: 0.250 0.875 0.751
Dy: 0.750 0.871 0.420
N: 0.750 0.627 0.583
Dy: 0.750 0.371 0.080
N: 0.750 0.127 0.917
O: 0.250 0.876 0.417
O: 0.250 0.375 0.749
O: 0.750 0.624 0.917
O: 0.750 0.124 0.583
Dy: 0.250 0.125 0.249
O: 0.750 0.125 0.249

(4)
# Dy4N2O

A relaxed Dy4N2O crystal (PBE-GGA, Alexandria via LeMat-Bulk).

The value obtained for the uncorrected formation energy is -1.73 eV per atom. The density of states at the Fermi level is 3.61 states/eV/f.u. As for the total magnetization: 0.76 μB/f.u.

a = 3.423 Å, b = 5.964 Å, c = 6.744 Å
α = 115.52°, β = 104.70°, γ = 90.00°
Each line ends with the local moment (μB).
Fractional coordinates of all 7 atoms:
Dy: 0.369 0.707 0.737  0.13
N: 0.255 0.259 0.509  -0.01
Dy: 0.631 0.293 0.263  0.13
Dy: 0.866 0.190 0.732  0.18
Dy: 0.134 0.810 0.268  0.18
N: 0.745 0.741 0.491  -0.01
O: 0.000 0.000 0.000  0.00